1.
Material: CsSr2ErCl8
Method: DFT, GGA-PBE
State: relaxed

The structure in CIF format:
```
data_CsSr2ErCl8
_space_group_name_H-M_alt 'P -1'
_space_group_IT_number 2
_cell_length_a 6.639
_cell_length_b 6.777
_cell_length_c 9.289
_cell_angle_alpha 89.97
_cell_angle_beta 89.95
_cell_angle_gamma 89.45
loop_
_space_group_symop_operation_xyz
'x,y,z'
'-x,-y,-z'
loop_
_atom_site_label
_atom_site_fract_x
_atom_site_fract_y
_atom_site_fract_z
Cs1 0.000 0.000 0.000
Sr1 0.500 0.500 0.252
Er1 0.000 0.000 0.500
Cl1 0.228 0.835 0.697
Cl2 0.228 0.836 0.303
Cl3 0.255 0.310 0.500
Cl4 0.269 0.401 0.000
```


2.
Material: Cs2SrErCl6
Method: DFT, GGA-PBE
State: relaxed

The structure in CIF format:
```
data_Cs2SrErCl6
_space_group_name_H-M_alt 'P m m n'
_space_group_IT_number 59
_cell_length_a 7.836
_cell_length_b 11.096
_cell_length_c 7.847
_cell_angle_alpha 90.00
_cell_angle_beta 90.00
_cell_angle_gamma 90.00
loop_
_space_group_symop_operation_xyz
'x,y,z'
'-x,-y,-z'
'-x+1/2,-y+1/2,z'
'x+1/2,y+1/2,-z'
'x+1/2,-y,-z'
'-x+1/2,y,z'
'-x,y+1/2,-z'
'x,-y+1/2,z'
loop_
_atom_site_label
_atom_site_fract_x
_atom_site_fract_y
_atom_site_fract_z
Cs1 0.250 0.000 0.250
Sr1 0.250 0.250 0.749
Er1 0.250 0.750 0.751
Cl1 0.010 0.750 0.511
Cl2 0.010 0.750 0.991
Cl3 0.250 0.510 0.750
```


3.
Material: CsSrErCl6
Method: DFT, GGA-PBE
State: relaxed

The structure in CIF format:
```
data_CsSrErCl6
_space_group_name_H-M_alt 'P 3 1 2'
_space_group_IT_number 149
_cell_length_a 7.3709
_cell_length_b 7.3709
_cell_length_c 7.5091
_cell_angle_alpha 90.00
_cell_angle_beta 90.00
_cell_angle_gamma 120.00
loop_
_space_group_symop_operation_xyz
'x,y,z'
'-y,x-y,z'
'-x+y,-x,z'
'-y,-x,-z'
'-x+y,y,-z'
'x,x-y,-z'
loop_
_atom_site_label
_atom_site_fract_x
_atom_site_fract_y
_atom_site_fract_z
Cs1 0.0000 0.0000 0.0000
Sr1 0.6667 0.3333 0.5000
Er1 0.3333 0.6667 0.5000
Cl1 0.0277 0.3904 0.2970
```


4.
Material: Cs2ErTlCl6
Method: DFT, GGA-PBE
State: relaxed

The structure in CIF format:
```
data_Cs2ErTlCl6
_space_group_name_H-M_alt 'P 1 21/c 1'
_space_group_IT_number 14
_cell_length_a 7.918
_cell_length_b 8.171
_cell_length_c 13.830
_cell_angle_alpha 90.00
_cell_angle_beta 124.90
_cell_angle_gamma 90.00
loop_
_space_group_symop_operation_xyz
'x,y,z'
'-x,-y,-z'
'-x,y+1/2,-z+1/2'
'x,-y+1/2,z+1/2'
loop_
_atom_site_label
_atom_site_fract_x
_atom_site_fract_y
_atom_site_fract_z
Cs1 0.236 0.055 0.251
Er1 0.500 0.000 0.000
Tl1 0.000 0.000 0.500
Cl1 0.193 0.182 0.962
Cl2 0.281 0.733 0.959
Cl3 0.351 0.019 0.775
```


5.
Material: CsErZnCl6
Method: DFT, GGA-PBE
State: relaxed

The structure in CIF format:
```
data_CsErZnCl6
_space_group_name_H-M_alt 'P 3 1 2'
_space_group_IT_number 149
_cell_length_a 6.7293
_cell_length_b 6.7293
_cell_length_c 7.7976
_cell_angle_alpha 90.00
_cell_angle_beta 90.00
_cell_angle_gamma 120.00
loop_
_space_group_symop_operation_xyz
'x,y,z'
'-y,x-y,z'
'-x+y,-x,z'
'-y,-x,-z'
'-x+y,y,-z'
'x,x-y,-z'
loop_
_atom_site_label
_atom_site_fract_x
_atom_site_fract_y
_atom_site_fract_z
Cs1 0.0000 0.0000 0.0000
Er1 0.6667 0.3333 0.5000
Zn1 0.3333 0.6667 0.5000
Cl1 0.0138 0.3865 0.6890
```


6.
Material: CsEuCl2
Method: DFT, GGA-PBE
State: relaxed

Properties
Relative energy among the computed polymorphs = 0.00 eV per formula unit

The structure in CIF format:
```
data_CsEuCl2
_space_group_name_H-M_alt 'R -3 m'
_space_group_IT_number 166
_space_group_name_Hall '-R 3 2"'
_cell_length_a 4.7026
_cell_length_b 4.7026
_cell_length_c 22.9645
_cell_angle_alpha 90.00
_cell_angle_beta 90.00
_cell_angle_gamma 120.00
loop_
_atom_site_label
_atom_site_fract_x
_atom_site_fract_y
_atom_site_fract_z
Cs1 0.0000 0.0000 0.0000
Eu1 0.0000 0.0000 0.5000
Cl1 0.0000 0.0000 0.2230
```


7.
Material: CsEuCl2
Method: DFT, GGA-PBE
State: relaxed

Properties
Relative energy among the computed polymorphs = 0.54 eV per formula unit

The structure in CIF format:
```
data_CsEuCl2
_space_group_name_H-M_alt 'P 4/m m m'
_space_group_IT_number 123
_space_group_name_Hall '-P 4 2'
_cell_length_a 3.753
_cell_length_b 3.753
_cell_length_c 8.628
_cell_angle_alpha 90.00
_cell_angle_beta 90.00
_cell_angle_gamma 90.00
loop_
_atom_site_label
_atom_site_fract_x
_atom_site_fract_y
_atom_site_fract_z
Cs1 0.000 0.000 0.000
Eu1 0.000 0.000 0.500
Cl1 0.500 0.500 0.297
```


8.
Material: Cs5Eu3Cl12
Method: DFT, GGA-PBE
State: relaxed

The structure in CIF format:
```
data_Cs5Eu3Cl12
_space_group_name_H-M_alt 'I a -3 d'
_space_group_IT_number 230
_space_group_name_Hall '-I 4bd 2c 3'
_cell_length_a 20.205
_cell_length_b 20.205
_cell_length_c 20.205
_cell_angle_alpha 90.00
_cell_angle_beta 90.00
_cell_angle_gamma 90.00
loop_
_atom_site_label
_atom_site_fract_x
_atom_site_fract_y
_atom_site_fract_z
Cs1 0.000 0.000 0.000
Cs2 0.000 0.250 0.375
Eu1 0.000 0.250 0.125
Cl1 0.029 0.162 0.530
```


9.
Material: Cs2LiEuCl6
Method: DFT, GGA-PBE
State: relaxed

The structure in CIF format:
```
data_Cs2LiEuCl6
_space_group_name_H-M_alt 'F m -3 m'
_space_group_IT_number 225
_space_group_name_Hall '-F 4 2 3'
_cell_length_a 10.708
_cell_length_b 10.708
_cell_length_c 10.708
_cell_angle_alpha 90.00
_cell_angle_beta 90.00
_cell_angle_gamma 90.00
loop_
_atom_site_label
_atom_site_fract_x
_atom_site_fract_y
_atom_site_fract_z
Cs1 0.250 0.250 0.250
Li1 0.000 0.000 0.000
Eu1 0.000 0.000 0.500
Cl1 0.000 0.000 0.246
```


10.
Material: Cs2NaEuCl6
Method: DFT, GGA-PBE
State: relaxed

The structure in CIF format:
```
data_Cs2NaEuCl6
_space_group_name_H-M_alt 'F m -3 m'
_space_group_IT_number 225
_space_group_name_Hall '-F 4 2 3'
_cell_length_a 11.013
_cell_length_b 11.013
_cell_length_c 11.013
_cell_angle_alpha 90.00
_cell_angle_beta 90.00
_cell_angle_gamma 90.00
loop_
_atom_site_label
_atom_site_fract_x
_atom_site_fract_y
_atom_site_fract_z
Cs1 0.250 0.250 0.250
Na1 0.000 0.000 0.000
Eu1 0.000 0.000 0.500
Cl1 0.000 0.000 0.253
```


11.
Material: Cs3ClF2
Method: DFT, GGA-PBE
State: relaxed

The structure in CIF format:
```
data_Cs3ClF2
_space_group_name_H-M_alt 'I 4/m m m'
_space_group_IT_number 139
_space_group_name_Hall '-I 4 2'
_cell_length_a 4.682
_cell_length_b 4.682
_cell_length_c 18.945
_cell_angle_alpha 90.00
_cell_angle_beta 90.00
_cell_angle_gamma 90.00
loop_
_atom_site_label
_atom_site_fract_x
_atom_site_fract_y
_atom_site_fract_z
Cs1 0.000 0.000 0.000
Cs2 0.000 0.000 0.322
Cl1 0.000 0.000 0.500
F1 0.000 0.000 0.171
```


12.
Material: Cs2ClF
Method: DFT, GGA-PBE
State: relaxed

Properties
Relative energy among the computed polymorphs = 0.00 eV per formula unit

The structure in CIF format:
```
data_Cs2ClF
_space_group_name_H-M_alt 'R -3 m'
_space_group_IT_number 166
_space_group_name_Hall '-R 3 2"'
_cell_length_a 4.5931
_cell_length_b 4.5931
_cell_length_c 23.3320
_cell_angle_alpha 90.00
_cell_angle_beta 90.00
_cell_angle_gamma 120.00
loop_
_atom_site_label
_atom_site_fract_x
_atom_site_fract_y
_atom_site_fract_z
Cs1 0.0000 0.0000 0.2376
Cl1 0.0000 0.0000 0.0000
F1 0.0000 0.0000 0.5000
```


13.
Material: CsCl2F
Method: DFT, GGA-PBE
State: relaxed

The structure in CIF format:
```
data_CsCl2F
_space_group_name_H-M_alt 'I 41/a m d'
_space_group_IT_number 141
_cell_length_a 4.615
_cell_length_b 4.615
_cell_length_c 24.838
_cell_angle_alpha 90.00
_cell_angle_beta 90.00
_cell_angle_gamma 90.00
loop_
_space_group_symop_operation_xyz
'x,y,z'
'-x,-y,-z'
'-y+1/4,x+3/4,z+1/4'
'y+1/4,-x+3/4,-z+1/4'
'-x+1/2,-y,z+1/2'
'x+1/2,y,-z+1/2'
'y+1/4,-x+1/4,z+3/4'
'-y+1/4,x+1/4,-z+3/4'
'x,-y,-z'
'-x,y,z'
'-y+1/4,-x+1/4,-z+3/4'
'y+1/4,x+1/4,z+3/4'
'-x+1/2,y,-z+1/2'
'x+1/2,-y,z+1/2'
'y+1/4,x+3/4,-z+1/4'
'-y+1/4,-x+3/4,z+1/4'
'x+1/2,y+1/2,z+1/2'
'-x+1/2,-y+1/2,-z+1/2'
'-y+3/4,x+1/4,z+3/4'
'y+3/4,-x+1/4,-z+3/4'
'-x,-y+1/2,z'
'x,y+1/2,-z'
'y+3/4,-x+3/4,z+1/4'
'-y+3/4,x+3/4,-z+1/4'
'x+1/2,-y+1/2,-z+1/2'
'-x+1/2,y+1/2,z+1/2'
'-y+3/4,-x+3/4,-z+1/4'
'y+3/4,x+3/4,z+1/4'
'-x,y+1/2,-z'
'x,-y+1/2,z'
'y+3/4,x+1/4,-z+3/4'
'-y+3/4,-x+1/4,z+3/4'
loop_
_atom_site_label
_atom_site_fract_x
_atom_site_fract_y
_atom_site_fract_z
Cs1 0.000 0.250 0.375
Cl1 0.000 0.000 0.000
F1 0.000 0.250 0.875
```


14.
Material: Cs3Cl2F
Method: DFT, GGA-PBE
State: relaxed

The structure in CIF format:
```
data_Cs3Cl2F
_space_group_name_H-M_alt 'I m m m'
_space_group_IT_number 71
_space_group_name_Hall '-I 2 2'
_cell_length_a 4.675
_cell_length_b 6.871
_cell_length_c 14.394
_cell_angle_alpha 90.00
_cell_angle_beta 90.00
_cell_angle_gamma 90.00
loop_
_atom_site_label
_atom_site_fract_x
_atom_site_fract_y
_atom_site_fract_z
Cs1 0.000 0.000 0.000
Cs2 0.000 0.000 0.357
Cl1 0.000 0.500 0.327
F1 0.000 0.500 0.000
```


15.
Material: Cs12Cl5F3
Method: DFT, GGA-PBE
State: relaxed

The structure in CIF format:
```
data_Cs12Cl5F3
_space_group_name_H-M_alt 'I a -3 d'
_space_group_IT_number 230
_space_group_name_Hall '-I 4bd 2c 3'
_cell_length_a 20.845
_cell_length_b 20.845
_cell_length_c 20.845
_cell_angle_alpha 90.00
_cell_angle_beta 90.00
_cell_angle_gamma 90.00
loop_
_atom_site_label
_atom_site_fract_x
_atom_site_fract_y
_atom_site_fract_z
Cs1 0.024 0.030 0.338
Cl1 0.000 0.000 0.000
Cl2 0.000 0.250 0.375
F1 0.000 0.250 0.125
```


16.
Material: Cs2ClF6
Method: DFT, GGA-PBE
State: relaxed

The structure in CIF format:
```
data_Cs2ClF6
_space_group_name_H-M_alt 'C 1 2/m 1'
_space_group_IT_number 12
_cell_length_a 11.651
_cell_length_b 6.097
_cell_length_c 5.168
_cell_angle_alpha 90.00
_cell_angle_beta 90.13
_cell_angle_gamma 90.00
loop_
_space_group_symop_operation_xyz
'x,y,z'
'-x,-y,-z'
'-x,y,-z'
'x,-y,z'
'x+1/2,y+1/2,z'
'-x+1/2,-y+1/2,-z'
'-x+1/2,y+1/2,-z'
'x+1/2,-y+1/2,z'
loop_
_atom_site_label
_atom_site_fract_x
_atom_site_fract_y
_atom_site_fract_z
Cs1 0.177 0.000 0.283
Cl1 0.000 0.500 0.000
F1 0.058 0.288 0.792
F2 0.186 0.500 0.216
```


no.,ΔE_f (raw) (eV/atom)
1,-2.30
2,-2.07
3,-2.33
4,-1.98
5,-1.85
6,-1.71
7,-1.58
8,-2.02
9,-1.95
10,-1.95
11,-2.36
12,-2.28
13,-1.15
14,-2.16
15,-1.62
16,-1.60